Entry 1:
Material: KTlS2
Method: DFT, PBE
State: optimized geometry

Properties
As for the formation energy without anion corrections: -0.566 eV per atom. The calculation puts the polymorph energy (0 for the lowest one) at 0.255 eV/f.u.

abc: 8.444 8.582 7.143
angles: 90.00 91.83 90.00
Space group C2/c (No. 15)
Asymmetric unit:
K1 0.000 0.107 0.250
Tl1 0.000 0.407 0.750
S1 0.246 0.158 0.901

Entry 2:
Material: CdP2CS
Method: DFT, PBE
State: optimized geometry

Properties
As for the formation energy without anion corrections: 2.492 eV per atom. The calculation puts the polymorph energy (0 for the lowest one) at 6.940 eV/f.u.

abc: 5.010 5.010 4.954
angles: 90.00 90.00 90.00
Space group P4/mmm (No. 123)
Asymmetric unit:
Cd1 0.000 0.000 0.000
P1 0.000 0.500 0.000
C1 0.500 0.500 0.500
S1 0.000 0.000 0.500

Entry 3:
Material: Ac4SiGeCl2
Method: DFT, PBE
State: optimized geometry

Properties
As for the formation energy without anion corrections: -1.201 eV per atom.

abc: 7.578 4.597 7.947
angles: 90.00 110.52 90.00
Space group P2/m (No. 10)
Asymmetric unit:
Ac1 0.232 0.000 0.241
Ac2 0.233 0.500 0.746
Si1 0.000 0.500 0.000
Ge1 0.000 0.000 0.500
Cl1 0.500 0.000 0.000
Cl2 0.500 0.500 0.500

Entry 4:
Material: Li2ZrCuH
Method: DFT, PBE
State: optimized geometry

abc: 3.825 3.825 4.612
angles: 90.00 90.00 90.00
Space group P4/mmm (No. 123)
Asymmetric unit:
Li1 0.000 0.500 0.000
Zr1 0.000 0.000 0.500
Cu1 0.500 0.500 0.500
H1 0.000 0.000 0.000

Entry 5:
Material: BRuIO2
Method: DFT, PBE
State: optimized geometry

Properties
As for the formation energy without anion corrections: 0.358 eV per atom. The calculation puts the polymorph energy (0 for the lowest one) at 0.000 eV/f.u.

abc: 3.691 3.691 8.349
angles: 90.00 90.00 90.00
Space group P4/mmm (No. 123)
Asymmetric unit:
B1 0.000 0.000 0.000
Ru1 0.500 0.500 0.500
I1 0.500 0.500 0.000
O1 0.000 0.500 0.500

Entry 6:
Material: Pm5Tm8Pb
Method: DFT, PBE
State: optimized geometry

Properties
As for the formation enthalpy at 0 K: 134 meV/atom.

abc: 10.645 10.645 8.087
angles: 90.00 90.00 90.00
Space group I-4m2 (No. 119)
Asymmetric unit:
Pm1 0.000 0.000 0.000
Pm2 0.000 0.204 0.430
Tm1 0.000 0.339 0.082
Tm2 0.217 0.283 0.750
Pb1 0.000 0.500 0.750

| no. | energy (eV per atom) |
| --- | --- |
| 1 | -3.496 |
| 2 | -2.525 |
| 3 | -4.972 |
| 4 | -4.005 |
| 5 | -5.126 |
| 6 | -4.382 |